! Na2SrVF6, optimized geometry, DFT PBE with a Hubbard U; values from VASP
&SYSTEM
  ibrav = 0, nat = 20, ntyp = 4
/
ATOMIC_SPECIES
Na 22.99 Na.upf
Sr 87.62 Sr.upf
V 50.94 V.upf
F 19.00 F.upf
CELL_PARAMETERS angstrom
-4.742 2.046 -2.703
-2.667 -5.430 0.570
-3.300 2.392 7.352
ATOMIC_POSITIONS angstrom
Na -8.173 -2.516 -0.178
Na -6.344 -0.087 4.613
Na -2.537 1.525 5.397
Na -4.365 -0.904 0.606
Sr -2.371 1.023 -1.352
Sr -2.984 -1.519 3.961
V -4.021 2.219 2.325
V -1.334 -2.715 0.285
F -3.396 -2.822 -0.122
F -7.906 -1.597 2.307
F -7.314 1.830 5.340
F -2.804 0.606 2.911
F -4.862 -2.130 2.524
F -9.132 -0.417 4.902
F -5.848 1.138 2.695
F -1.578 -0.575 0.317
F -6.480 -0.872 -0.320
F -6.604 -2.421 4.889
F -4.230 -0.119 5.539
F -4.105 1.429 0.330
! - Total magnetization: 6.00 μB/cell
! - Density of states at the Fermi level: 0.00 states/eV/cell
! - Total energy: -5.3378 eV per atom